Record 1
# CaAc3Se4, optimized geometry, DFT PBE-GGA
# Density, kg/m3: 7078
# ΔE to the lowest computed polymorph, meV/atom: 4.1
data_CaAc3Se4
_chemical_formula_sum 'Ca2 Ac6 Se8'
_cell_length_a 8.894
_cell_length_b 12.477
_cell_length_c 4.384
_cell_angle_alpha 90.00
_cell_angle_beta 90.00
_cell_angle_gamma 90.00
_space_group_name_H-M_alt 'C m m m'
_space_group_IT_number 65
_space_group_name_Hall '-C 2 2'
loop_
_atom_site_label
_atom_site_type_symbol
_atom_site_fract_x
_atom_site_fract_y
_atom_site_fract_z
Ca1 Ca 0.000 0.000 0.000
Ac1 Ac 0.000 0.500 0.000
Ac2 Ac 0.250 0.250 0.500
Se1 Se 0.000 0.242 0.000
Se2 Se 0.236 0.000 0.500

***

Record 2
# Ca3AcSe4, optimized geometry, DFT PBE-GGA
# Density, kg/m3: 4936
# ΔE to the lowest computed polymorph, meV/atom: 14.7
data_Ca3AcSe4
_chemical_formula_sum 'Ca6 Ac2 Se8'
_cell_length_a 8.584
_cell_length_b 12.129
_cell_length_c 4.285
_cell_angle_alpha 90.00
_cell_angle_beta 90.00
_cell_angle_gamma 90.00
_space_group_name_H-M_alt 'C m m m'
_space_group_IT_number 65
_space_group_name_Hall '-C 2 2'
loop_
_atom_site_label
_atom_site_type_symbol
_atom_site_fract_x
_atom_site_fract_y
_atom_site_fract_z
Ca1 Ca 0.000 0.000 0.000
Ca2 Ca 0.250 0.250 0.500
Ac1 Ac 0.000 0.500 0.000
Se1 Se 0.000 0.244 0.000
Se2 Se 0.237 0.000 0.500

***

Record 3
# CaAc4Se5, optimized geometry, DFT PBE-GGA
# Density, kg/m3: 7280
# ΔE to the lowest computed polymorph, meV/atom: 9.5
data_CaAc4Se5
_chemical_formula_sum 'Ca2 Ac8 Se10'
_cell_length_a 9.880
_cell_length_b 9.880
_cell_length_c 6.276
_cell_angle_alpha 90.00
_cell_angle_beta 90.00
_cell_angle_gamma 90.00
_space_group_name_H-M_alt 'I 4/m'
_space_group_IT_number 87
_space_group_name_Hall '-I 4'
loop_
_atom_site_label
_atom_site_type_symbol
_atom_site_fract_x
_atom_site_fract_y
_atom_site_fract_z
Ca1 Ca 0.000 0.000 0.000
Ac1 Ac 0.096 0.304 0.500
Se1 Se 0.000 0.000 0.500
Se2 Se 0.098 0.286 0.000

***

Record 4
# CaAc2SmSe5, optimized geometry, DFT PBE-GGA
# Density, kg/m3: 5627
data_CaAc2SmSe5
_chemical_formula_sum 'Ca1 Ac2 Sm1 Se5'
_cell_length_a 5.290
_cell_length_b 5.290
_cell_length_c 10.959
_cell_angle_alpha 90.00
_cell_angle_beta 90.00
_cell_angle_gamma 90.00
_space_group_name_H-M_alt 'P 4/m m m'
_space_group_IT_number 123
_space_group_name_Hall '-P 4 2'
loop_
_atom_site_label
_atom_site_type_symbol
_atom_site_fract_x
_atom_site_fract_y
_atom_site_fract_z
Ca1 Ca 0.000 0.000 0.000
Ac1 Ac 0.500 0.500 0.294
Sm1 Sm 0.000 0.000 0.500
Se1 Se 0.000 0.000 0.243
Se2 Se 0.000 0.500 0.500
Se3 Se 0.500 0.500 0.000

***

Record 5
# Ca2AcSmSe4, optimized geometry, DFT PBE-GGA
# Density, kg/m3: 5831
data_Ca2AcSmSe4
_chemical_formula_sum 'Ca2 Ac1 Sm1 Se4'
_cell_length_a 7.352
_cell_length_b 4.243
_cell_length_c 7.472
_cell_angle_alpha 90.00
_cell_angle_beta 109.10
_cell_angle_gamma 90.00
_space_group_name_H-M_alt 'P 1 2/m 1'
_space_group_IT_number 10
loop_
_space_group_symop_operation_xyz
'x,y,z'
'-x,-y,-z'
'-x,y,-z'
'x,-y,z'
loop_
_atom_site_label
_atom_site_type_symbol
_atom_site_fract_x
_atom_site_fract_y
_atom_site_fract_z
Ca1 Ca 0.000 0.000 0.000
Ca2 Ca 0.500 0.500 0.000
Ac1 Ac 0.000 0.500 0.500
Sm1 Sm 0.500 0.000 0.500
Se1 Se 0.256 0.500 0.243
Se2 Se 0.264 0.000 0.765

***

Record 6
# Ca3AcSm2Se6, optimized geometry, DFT PBE-GGA
# Density, kg/m3: 5751
data_Ca3AcSm2Se6
_chemical_formula_sum 'Ca6 Ac2 Sm4 Se12'
_cell_length_a 7.310
_cell_length_b 12.647
_cell_length_c 7.421
_cell_angle_alpha 90.00
_cell_angle_beta 109.23
_cell_angle_gamma 90.00
_space_group_name_H-M_alt 'C 1 2/m 1'
_space_group_IT_number 12
loop_
_space_group_symop_operation_xyz
'x,y,z'
'-x,-y,-z'
'-x,y,-z'
'x,-y,z'
'x+1/2,y+1/2,z'
'-x+1/2,-y+1/2,-z'
'-x+1/2,y+1/2,-z'
'x+1/2,-y+1/2,z'
loop_
_atom_site_label
_atom_site_type_symbol
_atom_site_fract_x
_atom_site_fract_y
_atom_site_fract_z
Ca1 Ca 0.000 0.000 0.000
Ca2 Ca 0.000 0.336 0.000
Ac1 Ac 0.000 0.500 0.500
Sm1 Sm 0.000 0.166 0.500
Se1 Se 0.242 0.000 0.758
Se2 Se 0.242 0.172 0.242

***

Record 7
# CaAcSm2Se4, optimized geometry, DFT PBE-GGA
# Density, kg/m3: 6703
data_CaAcSm2Se4
_chemical_formula_sum 'Ca1 Ac1 Sm2 Se4'
_cell_length_a 7.392
_cell_length_b 4.232
_cell_length_c 7.402
_cell_angle_alpha 90.00
_cell_angle_beta 109.05
_cell_angle_gamma 90.00
_space_group_name_H-M_alt 'P 1 2/m 1'
_space_group_IT_number 10
loop_
_space_group_symop_operation_xyz
'x,y,z'
'-x,-y,-z'
'-x,y,-z'
'x,-y,z'
loop_
_atom_site_label
_atom_site_type_symbol
_atom_site_fract_x
_atom_site_fract_y
_atom_site_fract_z
Ca1 Ca 0.000 0.000 0.000
Ac1 Ac 0.500 0.500 0.000
Sm1 Sm 0.000 0.500 0.500
Sm2 Sm 0.500 0.000 0.500
Se1 Se 0.235 0.000 0.739
Se2 Se 0.242 0.500 0.255

***

Record 8
# CaAc4Sm3Se8, optimized geometry, DFT PBE-GGA
# Density, kg/m3: 7378
data_CaAc4Sm3Se8
_chemical_formula_sum 'Ca3 Ac12 Sm9 Se24'
_cell_length_a 8.6156
_cell_length_b 8.6156
_cell_length_c 21.3302
_cell_angle_alpha 90.00
_cell_angle_beta 90.00
_cell_angle_gamma 120.00
_space_group_name_H-M_alt 'R -3 m'
_space_group_IT_number 166
_space_group_name_Hall '-R 3 2"'
loop_
_atom_site_label
_atom_site_type_symbol
_atom_site_fract_x
_atom_site_fract_y
_atom_site_fract_z
Ca1 Ca 0.0000 0.0000 0.0000
Ac1 Ac 0.0000 0.0000 0.5000
Ac2 Ac 0.0000 0.5000 0.5000
Sm1 Sm 0.0000 0.5000 0.0000
Se1 Se 0.0000 0.0000 0.2566
Se2 Se 0.0023 0.5012 0.7428

***

Number 1: ΔE_f (raw) -1.8776 eV/atom. Number 2: ΔE_f (raw) -1.9506 eV/atom. Number 3: ΔE_f (raw) -1.8751 eV/atom. Number 4: ΔE_f (raw) -1.5347 eV/atom. Number 5: ΔE_f (raw) -1.8901 eV/atom. Number 6: ΔE_f (raw) -1.8923 eV/atom. Number 7: ΔE_f (raw) -1.8524 eV/atom. Number 8: ΔE_f (raw) -1.8482 eV/atom.